The following is a PBE calculation of a geometry-optimized Tm2SnPt9 structure, from the Alexandria database.

Values from the calculation:
The energy of formation from the pure elements is -82.7 kJ/mol of atoms. The volume is 16.97 A^3/atom. The space-group type is No. 123. The value obtained for the magnetization is 0.00 μB/cell. The energy is -77.598 eV/cell.

Structure (POSCAR):
```
Tm2SnPt9
1.0
-2.9572 2.3451 1.5424
-2.8047 -2.3817 -1.7562
-0.3279 -7.0156 10.0378
Tm Sn Pt
2 1 9
direct
0.0000 0.0000 0.3340
0.0000 0.0000 0.6660
0.0000 0.0000 0.0000
0.5000 0.5000 0.0000
0.5000 0.5000 0.3309
0.5000 0.5000 0.6691
0.5000 0.0000 0.1650
0.5000 0.0000 0.5000
0.5000 0.0000 0.8350
0.0000 0.5000 0.1650
0.0000 0.5000 0.5000
0.0000 0.5000 0.8350
```